Record 1
The following is a PBE calculation of BaSr2CdHg4 after structural relaxation, from Alexandria.

Structure (POSCAR):
```
BaSr2CdHg4
1.0
-4.612 -2.414 1.865
0.211 -3.330 4.409
-3.109 5.757 7.964
Hg Ba Cd Sr
4 1 1 2
direct
0.120 0.120 0.640 Hg
0.880 0.880 0.360 Hg
0.611 0.611 0.168 Hg
0.389 0.389 0.832 Hg
0.000 0.000 0.000 Ba
0.500 0.500 0.500 Cd
0.768 0.768 0.697 Sr
0.232 0.232 0.303 Sr
```

Computed properties:
- Crystal system: trigonal
- Space-group type: R-3m (166)
- ΔH_f (0 K): -427 meV per atom

***

Record 2
The following is a PBE calculation of K2CdAg after structural relaxation, from Alexandria.

Structure (POSCAR):
```
K2CdAg
1.0
7.079 0.117 0.027
5.862 3.970 0.027
2.382 0.752 5.365
K Ag Cd
2 1 1
direct
0.981 0.981 0.022 K
0.782 0.782 0.715 K
0.537 0.537 0.469 Ag
0.201 0.201 0.294 Cd
```

Computed properties:
- Crystal system: monoclinic
- Space-group type: Cm (8)
- ΔH_f (0 K): -5 meV per atom
- ΔE to the lowest computed polymorph: 36 meV/atom

***

Record 3
The following is a PBE calculation of Fe2Rh2Au after structural relaxation, from Alexandria.

Structure (POSCAR):
```
Fe2Rh2Au
1.0
-0.396 -2.305 6.866
1.284 -6.790 -2.205
2.772 0.426 0.303
Rh Au Fe
4 2 4
direct
0.135 0.365 0.000 Rh
0.865 0.635 0.000 Rh
0.635 0.135 0.000 Rh
0.365 0.865 0.000 Rh
0.500 0.500 0.000 Au
0.000 0.000 0.000 Au
0.839 0.339 0.500 Fe
0.661 0.839 0.500 Fe
0.339 0.161 0.500 Fe
0.161 0.661 0.500 Fe
```

Computed properties:
- Crystal system: tetragonal
- Space-group type: P4/mbm (127)
- ΔH_f (0 K): 99 meV per atom
- ΔE to the lowest computed polymorph: 0 meV/atom

***

Record 4
The following is a PBE calculation of Dy2PaSbO8 after structural relaxation, from Alexandria.

Structure (POSCAR):
```
Dy2PaSbO8
1.0
-4.207 0.067 2.766
2.876 -0.634 4.080
0.551 6.834 0.673
O Pa Dy Sb
8 1 2 1
direct
0.818 0.182 0.769 O
0.182 0.818 0.769 O
0.717 0.717 0.000 O
0.300 0.299 0.500 O
0.283 0.283 0.000 O
0.818 0.182 0.231 O
0.700 0.701 0.500 O
0.182 0.818 0.231 O
0.000 0.000 0.500 Pa
0.500 0.500 0.760 Dy
0.500 0.500 0.240 Dy
0.000 0.000 0.000 Sb
```

Computed properties:
- Crystal system: orthorhombic
- Raw formation energy: -2960 meV/atom
- Space-group type: Cmmm (65)

***

Record 5
The following is a PBE calculation of BaCd4InAu2 after structural relaxation, from Alexandria.

Structure (POSCAR):
```
BaCd4InAu2
1.0
4.831 0.000 0.000
2.415 4.184 0.000
2.415 1.395 10.622
In Ba Cd Au
1 1 4 2
direct
0.500 0.500 0.500 In
0.000 0.000 0.000 Ba
0.120 0.120 0.639 Cd
0.405 0.405 0.784 Cd
0.880 0.880 0.361 Cd
0.595 0.595 0.216 Cd
0.741 0.741 0.777 Au
0.259 0.259 0.223 Au
```

Computed properties:
- Crystal system: trigonal
- Space-group type: R-3m (166)
- ΔH_f (0 K): -233 meV per atom

***

Record 6
The following is a PBE calculation of Na3ErPu2S6 after structural relaxation, from Alexandria.

Structure (POSCAR):
```
Na3ErPu2S6
1.0
6.951 -0.001 0.000
-3.475 6.020 0.000
-1.160 -2.008 6.642
Pu Na S Er
2 3 6 1
direct
0.667 0.333 0.000 Pu
0.333 0.667 0.000 Pu
0.167 0.833 0.500 Na
0.833 0.167 0.500 Na
0.500 0.500 0.500 Na
0.746 0.746 0.226 S
0.405 0.075 0.226 S
0.254 0.254 0.774 S
0.075 0.405 0.226 S
0.925 0.595 0.774 S
0.595 0.925 0.774 S
0.000 0.000 0.000 Er
```

Computed properties:
- Crystal system: monoclinic
- Raw formation energy: -1638 meV/atom
- Space-group type: C2/m (12)

***

Record 7
The following is a PBE calculation of Zr2CdSb after structural relaxation, from Alexandria.

Structure (POSCAR):
```
Zr2CdSb
1.0
4.231 -2.621 -0.541
-0.186 -4.772 -1.501
1.603 -1.249 -4.575
Sb Zr Cd
1 2 1
direct
0.500 0.500 0.500 Sb
0.250 0.250 0.250 Zr
0.750 0.750 0.750 Zr
0.000 0.000 0.000 Cd
```

Computed properties:
- Crystal system: cubic
- Raw formation energy: -214 meV/atom
- Space-group type: Fm-3m (225)
- ΔE to the lowest computed polymorph: 117 meV/atom

***

Record 8
The following is a PBE calculation of Ca2AlGeCl after structural relaxation, from Alexandria.

Structure (POSCAR):
```
Ca2AlGeCl
1.0
5.751 0.000 0.000
0.000 4.754 0.000
0.000 0.000 5.751
Ca Al Ge Cl
2 1 1 1
direct
0.000 0.000 0.500 Ca
0.500 0.000 0.000 Ca
0.000 0.500 0.000 Al
0.000 0.000 0.000 Ge
0.500 0.500 0.500 Cl
```

Computed properties:
- Crystal system: tetragonal
- Raw formation energy: -466 meV/atom
- Space-group type: P4/mmm (123)

***

Record 9
The following is a PBE calculation of Mg4ZrP after structural relaxation, from Alexandria.

Structure (POSCAR):
```
Mg4ZrP
1.0
0.000 4.001 4.001
4.001 0.000 4.001
4.001 4.001 0.000
Mg P Zr
4 1 1
direct
0.876 0.375 0.375 Mg
0.375 0.375 0.375 Mg
0.375 0.375 0.876 Mg
0.375 0.876 0.375 Mg
0.750 0.750 0.750 P
0.000 0.000 0.000 Zr
```

Computed properties:
- Crystal system: cubic
- Space-group type: F-43m (216)
- ΔH_f (0 K): 340 meV per atom

***

Record 10
The following is a PBE calculation of TmGa2Ni4Ge after structural relaxation, from Alexandria.

Structure (POSCAR):
```
TmGa2Ni4Ge
1.0
-0.575 -1.573 -3.720
2.957 0.251 -2.800
3.778 -7.493 0.347
Ni Ga Tm Ge
4 2 1 1
direct
0.596 0.596 0.213 Ni
0.404 0.404 0.787 Ni
0.867 0.867 0.400 Ni
0.133 0.133 0.600 Ni
0.750 0.750 0.751 Ga
0.250 0.250 0.249 Ga
0.000 0.000 0.000 Tm
0.500 0.500 0.500 Ge
```

Computed properties:
- Crystal system: trigonal
- Space-group type: R-3m (166)
- ΔH_f (0 K): -419 meV per atom

***

Record 11
The following is a PBE calculation of Sm2YHo5 after structural relaxation, from Alexandria.

Structure (POSCAR):
```
Sm2YHo5
1.0
-3.543 -0.359 -3.542
1.927 -6.736 -1.244
-9.324 -4.473 9.778
Ho Sm Y
10 4 2
direct
0.000 0.000 0.751 Ho
0.500 0.251 0.375 Ho
0.500 0.749 0.625 Ho
0.500 0.249 0.875 Ho
0.000 0.500 0.251 Ho
0.000 0.000 0.000 Ho
0.000 0.500 0.749 Ho
0.000 0.000 0.249 Ho
0.000 0.500 0.500 Ho
0.500 0.751 0.125 Ho
0.500 0.250 0.126 Sm
0.500 0.750 0.874 Sm
0.500 0.750 0.374 Sm
0.500 0.250 0.626 Sm
0.000 0.500 0.000 Y
0.000 0.000 0.500 Y
```

Computed properties:
- Crystal system: orthorhombic
- Space-group type: Pbam (55)
- ΔH_f (0 K): 19 meV per atom
- ΔE to the lowest computed polymorph: 7 meV/atom

***

Record 12
The following is a PBE calculation of SrCd2P after structural relaxation, from Alexandria.

Structure (POSCAR):
```
SrCd2P
1.0
6.924 -2.183 0.019
6.924 2.183 0.019
6.225 0.000 3.735
Cd Sr P
2 1 1
direct
0.777 0.777 0.777 Cd
0.223 0.223 0.223 Cd
0.000 0.000 0.000 Sr
0.500 0.500 0.500 P
```

Computed properties:
- Crystal system: trigonal
- Space-group type: R-3m (166)
- ΔH_f (0 K): -159 meV per atom

***

Record 13
The following is a PBE calculation of TiAlI3 after structural relaxation, from Alexandria.

Structure (POSCAR):
```
TiAlI3
1.0
5.627 0.000 0.000
0.000 5.627 0.000
0.000 0.000 5.627
Al I Ti
1 3 1
direct
0.000 0.000 0.000 Al
0.000 0.000 0.500 I
0.000 0.500 0.000 I
0.500 0.000 0.000 I
0.500 0.500 0.500 Ti
```

Computed properties:
- Crystal system: cubic
- Raw formation energy: 315 meV/atom
- Space-group type: Pm-3m (221)
- ΔE to the lowest computed polymorph: 451 meV/atom

***

Record 14
The following is a PBE calculation of OsRu4Cl after structural relaxation, from Alexandria.

Structure (POSCAR):
```
OsRu4Cl
1.0
-3.919 -2.864 -1.592
-4.437 0.110 2.529
-4.090 2.215 -2.112
Ru Cl Os
4 1 1
direct
0.375 0.375 0.375 Ru
0.375 0.875 0.375 Ru
0.875 0.375 0.375 Ru
0.375 0.375 0.875 Ru
0.750 0.750 0.750 Cl
0.000 0.000 0.000 Os
```

Computed properties:
- Crystal system: cubic
- Raw formation energy: 1247 meV/atom
- Space-group type: F-43m (216)

***

Record 15
The following is a PBE calculation of CSe2 after structural relaxation, from Alexandria.

Structure (POSCAR):
```
CSe2
1.0
10.502 3.598 6.007
-11.251 -0.766 -5.671
-1.762 -0.896 3.617
Se C
4 2
direct
0.971 0.029 0.250 Se
0.814 0.186 0.250 Se
0.029 0.971 0.750 Se
0.186 0.814 0.750 Se
0.360 0.640 0.250 C
0.640 0.360 0.750 C
```

Computed properties:
- Crystal system: orthorhombic
- Raw formation energy: 1205 meV/atom
- Space-group type: Cmcm (63)
- ΔE to the lowest computed polymorph: 645 meV/atom

***

Record 16
The following is a PBE calculation of HfTi2Cr after structural relaxation, from Alexandria.

Structure (POSCAR):
```
HfTi2Cr
1.0
-2.716 1.005 -1.207
-0.098 -2.515 -1.873
-3.421 -3.457 4.819
Ti Hf Cr
2 1 1
direct
0.000 0.000 0.205 Ti
0.000 0.000 0.795 Ti
0.500 0.500 0.500 Hf
0.500 0.500 0.000 Cr
```

Computed properties:
- Crystal system: tetragonal
- Space-group type: P4/mmm (123)
- ΔH_f (0 K): 61 meV per atom
- ΔE to the lowest computed polymorph: 0 meV/atom

***

Record 17
The following is a PBE calculation of SrPtBr2 after structural relaxation, from Alexandria.

Structure (POSCAR):
```
SrPtBr2
1.0
4.396 0.000 0.000
0.000 5.125 -0.016
0.000 0.490 5.092
Pt Br Sr
1 2 1
direct
0.500 0.250 0.250 Pt
0.000 0.032 0.032 Br
0.000 0.468 0.468 Br
0.500 0.750 0.750 Sr
```

Computed properties:
- Crystal system: orthorhombic
- Raw formation energy: -722 meV/atom
- Space-group type: Cmmm (65)
- ΔE to the lowest computed polymorph: 422 meV/atom

***

Record 18
The following is a PBE calculation of ScI2O after structural relaxation, from Alexandria.

Structure (POSCAR):
```
ScI2O
1.0
-7.139 -1.819 1.474
0.474 -5.755 -4.807
-2.171 -6.054 1.163
I O Sc
4 2 2
direct
0.625 0.125 0.250 I
0.875 0.875 0.750 I
0.375 0.375 0.750 I
0.125 0.625 0.250 I
0.250 0.750 0.500 O
0.500 0.500 0.000 O
0.000 0.000 0.000 Sc
0.750 0.250 0.500 Sc
```

Computed properties:
- Crystal system: tetragonal
- Raw formation energy: -218 meV/atom
- Space-group type: I-42d (122)
- ΔE to the lowest computed polymorph: 52 meV/atom

***

Record 19
The following is a PBE calculation of CaAgOs2 after structural relaxation, from Alexandria.

Structure (POSCAR):
```
CaAgOs2
1.0
-2.281 -0.588 1.350
1.473 -0.966 2.067
0.111 8.473 3.880
Ag Ca Os
1 1 2
direct
0.500 0.500 0.250 Ag
0.500 0.500 0.750 Ca
0.000 0.000 0.010 Os
0.000 0.000 0.490 Os
```

Computed properties:
- Crystal system: tetragonal
- Space-group type: P4/mmm (123)
- ΔH_f (0 K): 794 meV per atom
- ΔE to the lowest computed polymorph: 465 meV/atom

***

Record 20
The following is a PBE calculation of TlFeBr6 after structural relaxation, from Alexandria.

Structure (POSCAR):
```
TlFeBr6
1.0
-0.890 -7.203 2.634
4.090 -5.119 -1.291
5.502 -1.099 4.517
Br Fe Tl
6 1 1
direct
0.762 0.855 0.293 Br
0.238 0.145 0.707 Br
0.238 0.852 0.293 Br
0.225 0.548 0.000 Br
0.762 0.148 0.707 Br
0.775 0.452 0.000 Br
0.000 0.000 0.000 Fe
0.500 0.000 0.000 Tl
```

Computed properties:
- Crystal system: monoclinic
- Raw formation energy: -358 meV/atom
- Space-group type: C2/m (12)

***

Record 21
The following is a PBE calculation of MgSc2Ta after structural relaxation, from Alexandria.

Structure (POSCAR):
```
MgSc2Ta
1.0
5.313 -0.004 0.000
1.605 5.064 0.000
-3.459 -2.530 3.140
Mg Sc Ta
1 2 1
direct
0.750 0.250 0.500 Mg
0.000 0.000 0.000 Sc
0.500 0.500 0.000 Sc
0.250 0.750 0.500 Ta
```

Computed properties:
- Crystal system: tetragonal
- Space-group type: I4/mmm (139)
- ΔH_f (0 K): 203 meV per atom

***

Record 22
The following is a PBE calculation of CePrTlAg after structural relaxation, from Alexandria.

Structure (POSCAR):
```
CePrTlAg
1.0
-4.958 -2.054 -0.908
-2.251 -3.380 3.623
-4.224 1.655 3.008
Ag Pr Ce Tl
1 1 1 1
direct
0.750 0.750 0.750 Ag
0.500 0.500 0.500 Pr
0.000 0.000 0.000 Ce
0.250 0.250 0.250 Tl
```

Computed properties:
- Crystal system: cubic
- Space-group type: F-43m (216)
- ΔH_f (0 K): -210 meV per atom
- ΔE to the lowest computed polymorph: 8 meV/atom

***

Record 23
The following is a PBE calculation of Ti2CdIn2Pd5 after structural relaxation, from Alexandria.

Structure (POSCAR):
```
Ti2CdIn2Pd5
1.0
-3.243 2.333 0.787
-5.462 -5.930 -4.922
-1.674 -4.976 7.852
Pd In Ti Cd
10 4 4 2
direct
0.500 0.704 0.418 Pd
0.500 0.582 0.704 Pd
0.500 0.500 0.000 Pd
0.500 0.918 0.204 Pd
0.500 0.418 0.296 Pd
0.500 0.000 0.500 Pd
0.500 0.204 0.082 Pd
0.500 0.296 0.582 Pd
0.500 0.796 0.918 Pd
0.500 0.082 0.796 Pd
0.000 0.178 0.322 In
0.000 0.678 0.178 In
0.000 0.322 0.822 In
0.000 0.822 0.678 In
0.000 0.617 0.883 Ti
0.000 0.383 0.117 Ti
0.000 0.117 0.617 Ti
0.000 0.883 0.383 Ti
0.000 0.500 0.500 Cd
0.000 0.000 0.000 Cd
```

Computed properties:
- Crystal system: tetragonal
- Space-group type: P4/mbm (127)
- ΔH_f (0 K): -271 meV per atom

***

Record 24
The following is a PBE calculation of NiTe2PtBr2 after structural relaxation, from Alexandria.

Structure (POSCAR):
```
NiTe2PtBr2
1.0
5.337 0.000 0.000
0.000 5.542 0.000
-2.668 -2.771 10.493
Te Br Pt Ni
4 4 2 2
direct
0.299 0.585 0.171 Te
0.128 0.915 0.829 Te
0.872 0.085 0.171 Te
0.701 0.415 0.829 Te
0.396 0.173 0.346 Br
0.604 0.827 0.654 Br
0.050 0.327 0.654 Br
0.950 0.673 0.346 Br
0.500 0.750 0.000 Pt
0.500 0.250 0.000 Pt
0.000 0.750 0.000 Ni
0.000 0.250 0.000 Ni
```

Computed properties:
- Crystal system: orthorhombic
- Raw formation energy: -188 meV/atom
- Space-group type: Ibam (72)

***

Record 25
The following is a PBE calculation of CrIn2GaPt after structural relaxation, from Alexandria.

Structure (POSCAR):
```
CrIn2GaPt
1.0
5.182 0.000 0.000
0.000 4.702 0.000
0.000 0.000 5.182
Ga In Pt Cr
1 2 1 1
direct
0.000 0.000 0.000 Ga
0.000 0.000 0.500 In
0.500 0.000 0.000 In
0.000 0.500 0.000 Pt
0.500 0.500 0.500 Cr
```

Computed properties:
- Crystal system: tetragonal
- Space-group type: P4/mmm (123)
- ΔH_f (0 K): 651 meV per atom